Record 1
## AcDyNO (PBE-GGA)

Data for a relaxed structure of AcDyNO.

Results
Total magnetization ... 1.51 μB per cell
Energy relative to the lowest polymorph listed for this composition ... 46.1 meV/atom

Cell lengths 4.0750, 6.9912, 5.8459 Å; angles 90.00, 90.00, 90.00 degrees
Space group Pmc2_1 (No. 26)
One atom of each set of equivalent atoms:
1 Ac 0.0000 0.1578 0.0000 x2
2 Dy 0.5000 0.3265 0.5145 x2
3 N 0.0000 0.2011 0.4372 x2
4 O 0.5000 0.3729 0.8921 x2

Record 2
## AcDyNO (PBE-GGA)

Data for a relaxed structure of AcDyNO.

Results
Total magnetization ... 0.14 μB per cell
Energy relative to the lowest polymorph listed for this composition ... 73.7 meV/atom

Cell lengths 6.9456, 7.9850, 6.0987 Å; angles 90.00, 90.00, 90.00 degrees
Space group Pca2_1 (No. 29)
One atom of each set of equivalent atoms:
1 Ac 0.0709 0.1244 0.0000 x4
2 Dy 0.0948 0.6213 0.9551 x4
3 N 0.0826 0.1534 0.4212 x4
4 O 0.1002 0.5716 0.5958 x4

Record 3
## AcDyNO (PBE-GGA)

Data for a relaxed structure of AcDyNO.

Results
Total magnetization ... 0.03 μB per cell
Energy relative to the lowest polymorph listed for this composition ... 214.4 meV/atom

Cell lengths 4.5333, 4.5333, 9.1291 Å; angles 90.00, 90.00, 90.00 degrees
Space group P4/nmm (No. 129, origin choice 2)
One atom of each set of equivalent atoms:
1 Ac 0.2500 0.2500 0.1201 x2
2 Dy 0.2500 0.7500 0.5000 x2
3 N 0.2500 0.2500 0.5504 x2
4 O 0.2500 0.7500 0.0000 x2

Q: Among the records above, which one has the highest energy relative to the lowest polymorph listed for this composition?
A: number 3